Density functional theory data (GGA-PBE) for a relaxed Mg2Sc2Pd3 crystal.

Summary:
**DFT total energy**: -35.93 eV/cell
**Polymorph energy (0 for the lowest one)**: 86 meV per atom
**DOS at the Fermi energy**: 0.439 states/eV per atom
**Magnetic moment**: 0.00 μB per atom
**ΔH_f (0 K)**: -0.643 eV per atom

a b c (Å): 4.1716 6.4652 5.2241
angles (deg): 96.64 113.53 90.00
Fractional positions:
Mg  0.8559  0.5870  0.7118
Mg  0.1441  0.4130  0.2882
Sc  0.5784  0.7716  0.1567
Sc  0.4216  0.2284  0.8433
Pd  0.0000  0.0000  0.0000
Pd  0.7206  0.1661  0.4412
Pd  0.2794  0.8339  0.5588

Density functional theory data (GGA-PBE) for a relaxed CeAl4Cu2Ni crystal.

Summary:
**DFT total energy**: -37.86 eV/cell
**DOS at the Fermi energy**: 0.877 states/eV per atom
**Magnetic moment**: 0.06 μB per atom
**ΔH_f (0 K)**: -0.373 eV per atom

a b c (Å): 4.1526 4.1526 9.0986
angles (deg): 76.81 76.81 60.00
Each line ends with the local moment (μB).
Fractional positions:
Ce  0.0000  0.0000  0.0000  0.46
Al  0.4073  0.4073  0.7781  0.00
Al  0.8661  0.8661  0.4018  0.00
Al  0.1339  0.1339  0.5982  0.00
Al  0.5927  0.5927  0.2219  0.00
Cu  0.7646  0.7646  0.7063  0.00
Cu  0.2354  0.2354  0.2937  0.00
Ni  0.5000  0.5000  0.5000  0.01

Density functional theory data (GGA-PBE) for a relaxed MoAsCl crystal.

Summary:
**DFT total energy**: -16.77 eV/cell
**Polymorph energy (0 for the lowest one)**: 402 meV per atom
**DOS at the Fermi energy**: 0.166 states/eV per atom
**Magnetic moment**: 0.65 μB per atom
**Raw formation energy**: 0.1848 eV/atom

a b c (Å): 4.4054 4.4054 4.4054
angles (deg): 60.00 60.00 60.00
Each line ends with the local moment (μB).
Fractional positions:
Mo  0.7500  0.7500  0.7500  1.87
As  0.0000  0.0000  0.0000  -0.12
Cl  0.5000  0.5000  0.5000  -0.02

Density functional theory data (GGA-PBE) for a relaxed Ba2NpTl3O6 crystal.

Summary:
**DFT total energy**: -77.65 eV/cell
**DOS at the Fermi energy**: 0.301 states/eV per atom
**Magnetic moment**: 0.09 μB per atom
**Raw formation energy**: -2.0010 eV/atom

a b c (Å): 6.6070 6.6070 7.3905
angles (deg): 102.07 102.07 118.43
Each line ends with the local moment (μB).
Fractional positions:
Ba  0.3342  0.6658  0.0000  0.00
Ba  0.6658  0.3342  0.0000  0.00
Np  0.0000  0.0000  0.0000  1.20
Tl  0.1465  0.8535  0.5000  0.00
Tl  0.8535  0.1465  0.5000  0.00
Tl  0.5000  0.5000  0.5000  0.00
O  0.9245  0.6603  0.8405  -0.04
O  0.8248  0.8248  0.1860  -0.03
O  0.0755  0.3397  0.1595  -0.04
O  0.6603  0.9245  0.8405  -0.04
O  0.1752  0.1752  0.8140  -0.03
O  0.3397  0.0755  0.1595  -0.04

Density functional theory data (GGA-PBE) for a relaxed MnTeOs2 crystal.

Summary:
**DFT total energy**: -31.83 eV/cell
**DOS at the Fermi energy**: 0.944 states/eV per atom
**Magnetic moment**: 0.58 μB per atom
**Raw formation energy**: 0.7350 eV/atom

a b c (Å): 2.9349 4.6498 4.6599
angles (deg): 90.00 90.00 90.00
Each line ends with the local moment (μB).
Fractional positions:
Mn  0.0000  0.5000  0.5000  2.74
Os  0.0000  0.0000  0.0000  -0.13
Os  0.5000  0.5000  0.0000  -0.23
Te  0.5000  0.0000  0.5000  -0.07

Density functional theory data (GGA-PBE) for a relaxed AlPPt2 crystal.

Summary:
**DFT total energy**: -22.37 eV/cell
**Polymorph energy (0 for the lowest one)**: 307 meV per atom
**DOS at the Fermi energy**: 0.290 states/eV per atom
**Magnetic moment**: 0.00 μB per atom
**ΔH_f (0 K)**: -0.283 eV per atom

a b c (Å): 2.8870 2.8871 7.3218
angles (deg): 90.00 90.00 90.04
Fractional positions:
P  0.5000  0.5000  0.7651
Al  0.0000  0.0000  0.4898
Pt  0.0000  0.0000  0.9712
Pt  0.5000  0.5000  0.2739

Density functional theory data (GGA-PBE) for a relaxed Ho5NiIr4 crystal.

Summary:
**DFT total energy**: -71.73 eV/cell
**DOS at the Fermi energy**: 0.522 states/eV per atom
**Magnetic moment**: 0.00 μB per atom
**ΔH_f (0 K)**: -0.761 eV per atom

a b c (Å): 3.3606 3.3606 17.4854
angles (deg): 90.00 90.00 90.00
Fractional positions:
Ho  0.5000  0.5000  0.0992
Ho  0.5000  0.5000  0.2990
Ho  0.5000  0.5000  0.5000
Ho  0.5000  0.5000  0.7010
Ho  0.5000  0.5000  0.9008
Ni  0.0000  0.0000  0.0000
Ir  0.0000  0.0000  0.1968
Ir  0.0000  0.0000  0.3992
Ir  0.0000  0.0000  0.6008
Ir  0.0000  0.0000  0.8032

Density functional theory data (GGA-PBE) for a relaxed ZnTe2BrN crystal.

Summary:
**DFT total energy**: -13.37 eV/cell
**Polymorph energy (0 for the lowest one)**: 0 meV per atom
**DOS at the Fermi energy**: 0.914 states/eV per atom
**Magnetic moment**: 0.43 μB per atom
**Raw formation energy**: 0.8362 eV/atom

a b c (Å): 5.8794 5.8794 3.5968
angles (deg): 90.00 90.00 90.00
Each line ends with the local moment (μB).
Fractional positions:
Zn  0.0000  0.0000  0.0000  0.07
Te  0.0000  0.5000  0.0000  0.22
Te  0.5000  0.0000  0.0000  0.22
Br  0.5000  0.5000  0.5000  0.03
N  0.0000  0.0000  0.5000  0.91

Density functional theory data (GGA-PBE) for a relaxed MnTeSe2 crystal.

Summary:
**DFT total energy**: -19.19 eV/cell
**DOS at the Fermi energy**: 0.581 states/eV per atom
**Magnetic moment**: 1.18 μB per atom
**Raw formation energy**: 0.0234 eV/atom

a b c (Å): 4.9971 4.9971 4.9952
angles (deg): 69.60 69.60 107.62
Each line ends with the local moment (μB).
Fractional positions:
Mn  0.0000  0.5000  0.5000  4.31
Se  0.0000  0.0000  0.0000  0.02
Se  0.5000  0.5000  0.0000  0.02
Te  0.5000  0.0000  0.5000  -0.03

Density functional theory data (GGA-PBE) for a relaxed Ba2NiPb crystal.

Summary:
**DFT total energy**: -13.81 eV/cell
**DOS at the Fermi energy**: 0.961 states/eV per atom
**Magnetic moment**: 0.00 μB per atom
**ΔH_f (0 K)**: -0.120 eV per atom

a b c (Å): 6.7639 6.7639 5.7116
angles (deg): 65.03 65.03 34.58
Fractional positions:
Ba  0.0164  0.0164  0.9865
Ba  0.2050  0.2050  0.2969
Ni  0.4628  0.4628  0.5295
Pb  0.8158  0.8158  0.6871

Density functional theory data (GGA-PBE) for a relaxed Sn5Os crystal.

Summary:
**DFT total energy**: -60.80 eV/cell
**DOS at the Fermi energy**: 0.360 states/eV per atom
**Magnetic moment**: 0.00 μB per atom
**ΔH_f (0 K)**: 0.141 eV per atom

a b c (Å): 6.7167 6.7167 8.1675
angles (deg): 114.28 114.28 90.00
Fractional positions:
Sn  0.0000  0.0000  0.0000
Sn  0.5000  0.5000  0.0000
Sn  0.3096  0.8096  0.3061
Sn  0.4965  0.3096  0.3061
Sn  0.8096  0.9965  0.3061
Sn  0.5035  0.6904  0.6939
Sn  0.1904  0.0035  0.6939
Sn  0.0035  0.5035  0.6939
Sn  0.6904  0.1904  0.6939
Sn  0.9965  0.4965  0.3061
Os  0.2500  0.2500  0.5000
Os  0.7500  0.7500  0.5000

Density functional theory data (GGA-PBE) for a relaxed Cu5Ni6Pt crystal.

Summary:
**DFT total energy**: -61.07 eV/cell
**DOS at the Fermi energy**: 1.351 states/eV per atom
**Magnetic moment**: 0.22 μB per atom
**ΔH_f (0 K)**: 0.012 eV per atom

a b c (Å): 3.5999 7.2449 6.7360
angles (deg): 122.53 105.50 90.00
Each line ends with the local moment (μB).
Fractional positions:
Ni  0.1680  0.4198  0.3359  0.37
Ni  0.1679  0.9161  0.3359  0.37
Ni  0.5000  0.2538  0.0000  0.43
Ni  0.5000  0.7462  0.0000  0.43
Ni  0.8321  0.0839  0.6641  0.37
Ni  0.8320  0.5802  0.6641  0.37
Pt  0.0000  0.0000  0.0000  0.21
Cu  0.3281  0.8281  0.6562  0.02
Cu  0.6655  0.6655  0.3310  0.04
Cu  0.0000  0.5000  0.0000  0.03
Cu  0.3345  0.3345  0.6690  0.04
Cu  0.6719  0.1719  0.3438  0.02